Density functional theory data (PBE) for an optimized crystal structure of NdSc2Tl3Te6.

Lattice parameters (Å, degrees): 7.5652 7.5652 8.5263 98.53 98.53 119.91
With the nearest neighbours (Å) after each atom.
Atoms (fractional coordinates):
Nd1 0.0000 0.0000 0.0000  6 Te 3.15-3.17
Sc1 0.3324 0.6676 0.0000  6 Te 2.97-2.99
Sc2 0.6676 0.3324 0.0000  6 Te 2.97-2.99
Tl1 0.1595 0.8405 0.5000  6 Te 3.41-3.52
Tl2 0.8405 0.1595 0.5000  6 Te 3.41-3.52
Tl3 0.5000 0.5000 0.5000  6 Te 3.38-3.51
Te1 0.9297 0.5769 0.7897  2 Sc 2.98-2.99, 1 Nd 3.17
Te2 0.7149 0.7149 0.2045  2 Sc 2.97, 1 Nd 3.15
Te3 0.0703 0.4231 0.2103  2 Sc 2.98-2.99, 1 Nd 3.17
Te4 0.5769 0.9297 0.7897  2 Sc 2.98-2.99, 1 Nd 3.17
Te5 0.2851 0.2851 0.7955  2 Sc 2.97, 1 Nd 3.15
Te6 0.4231 0.0703 0.2103  2 Sc 2.98-2.99, 1 Nd 3.17

calculated density = 6.6 g cm⁻³
V = 33.67 Å³/atom
energy relative to the elements, uncorrected = -965 meV per atom
space-group type = No. 12